Record 1
A relaxed structure of Ho2PuTe4. Source: Alexandria, functional PBE.

- Offset from the most stable computed form: 0.000 eV/atom
- ΔE_f (raw): -1.26 eV/atom

Cell lengths 4.312, 7.444, 14.912 Å; angles 90.00, 90.00, 106.84 degrees
Fractional positions:
Te 0.775 0.550 0.378
Pu 0.381 0.762 0.250
Te 0.044 0.088 0.250
Pu 0.619 0.238 0.750
Te 0.225 0.450 0.622
Ho 0.134 0.268 0.067
Te 0.500 0.000 0.500
Ho 0.134 0.268 0.433
Te 0.500 0.000 0.000
Te 0.956 0.912 0.750
Ho 0.866 0.732 0.567
Te 0.225 0.450 0.878
Ho 0.866 0.732 0.933
Te 0.775 0.550 0.122

Record 2
A relaxed structure of Ho5PuTe6. Source: Alexandria, functional PBE.

- ΔE_f (raw): -1.24 eV/atom

Cell lengths 7.511, 7.511, 7.578 Å; angles 99.52, 99.52, 120.05 degrees
Fractional positions:
Te 0.255 0.255 0.750
Ho 0.835 0.165 0.500
Te 0.422 0.085 0.253
Pu 0.000 0.000 0.000
Ho 0.668 0.332 0.000
Te 0.578 0.915 0.747
Te 0.085 0.422 0.253
Te 0.915 0.578 0.747
Ho 0.500 0.500 0.500
Ho 0.165 0.835 0.500
Ho 0.332 0.668 0.000
Te 0.745 0.745 0.250

Record 3
A relaxed structure of Ho3PuTe6. Source: Alexandria, functional PBE.

- ΔE_f (raw): -1.27 eV/atom

Cell lengths 4.355, 12.462, 12.755 Å; angles 109.37, 90.00, 90.00 degrees
Fractional positions:
Te 0.250 0.084 0.899
Ho 0.250 0.568 0.165
Ho 0.250 0.846 0.921
Ho 0.750 0.682 0.502
Pu 0.250 0.954 0.306
Ho 0.750 0.154 0.079
Te 0.250 0.195 0.249
Pu 0.750 0.046 0.694
Te 0.750 0.805 0.751
Te 0.750 0.916 0.101
Ho 0.250 0.318 0.498
Te 0.750 0.115 0.464
Te 0.750 0.392 0.062
Te 0.250 0.608 0.938
Te 0.250 0.255 0.721
Ho 0.750 0.432 0.835
Te 0.750 0.745 0.279
Te 0.250 0.885 0.536
Te 0.250 0.517 0.382
Te 0.750 0.483 0.618

Record 4
A relaxed structure of HoPuTe. Source: Alexandria, functional PBE.

- Offset from the most stable computed form: 0.199 eV/atom
- ΔE_f (raw): -0.54 eV/atom

Cell lengths 3.880, 3.880, 6.293 Å; angles 107.96, 107.96, 90.00 degrees
Fractional positions:
Pu 0.009 0.009 0.019
Te 0.674 0.674 0.349
Ho 0.316 0.316 0.633

Record 5
A relaxed structure of Ho4PuTe6. Source: Alexandria, functional PBE.

- ΔE_f (raw): -1.27 eV/atom

Cell lengths 4.308, 7.433, 22.213 Å; angles 90.00, 90.00, 106.84 degrees
Fractional positions:
Ho 0.588 0.176 0.627
Ho 0.588 0.176 0.873
Te 0.679 0.359 0.750
Ho 0.412 0.824 0.373
Pu 0.343 0.687 0.750
Te 0.948 0.897 0.664
Te 0.052 0.103 0.336
Ho 0.143 0.286 0.037
Ho 0.143 0.286 0.463
Ho 0.412 0.824 0.127
Te 0.321 0.641 0.250
Ho 0.857 0.714 0.537
Te 0.500 0.000 0.500
Ho 0.857 0.714 0.963
Pu 0.657 0.313 0.250
Te 0.232 0.464 0.592
Te 0.768 0.536 0.408
Te 0.948 0.897 0.836
Te 0.768 0.536 0.092
Te 0.232 0.464 0.908
Te 0.052 0.103 0.164
Te 0.500 0.000 0.000

Record 6
A relaxed structure of Ho3PuTe4. Source: Alexandria, functional PBE.

- ΔE_f (raw): -1.23 eV/atom

Cell lengths 4.334, 7.558, 7.558 Å; angles 109.09, 90.00, 90.00 degrees
Fractional positions:
Te 0.000 0.254 0.254
Te 0.000 0.746 0.746
Ho 0.500 0.500 0.500
Te 0.500 0.748 0.252
Te 0.500 0.252 0.748
Ho 0.000 0.500 0.000
Pu 0.500 0.000 0.000
Ho 0.000 0.000 0.500

Record 7
A relaxed structure of HoPu2Te3. Source: Alexandria, functional PBE.

- ΔE_f (raw): -1.16 eV/atom

Cell lengths 4.397, 6.231, 7.619 Å; angles 114.14, 106.77, 90.00 degrees
Fractional positions:
Ho 0.000 0.500 0.000
Te 0.000 0.000 0.000
Pu 0.668 0.168 0.336
Te 0.663 0.663 0.327
Pu 0.332 0.832 0.664
Te 0.337 0.337 0.673

Record 8
A relaxed structure of Ho3Pu2ThTe6. Source: Alexandria, functional PBE.

- ΔE_f (raw): -1.17 eV/atom

Cell lengths 4.338, 8.877, 9.851 Å; angles 104.01, 102.72, 90.00 degrees
Fractional positions:
Te 0.666 0.587 0.332
Pu 0.835 0.669 0.669
Ho 0.835 0.167 0.669
Te 0.998 0.259 0.997
Te 0.330 0.920 0.659
Pu 0.165 0.331 0.331
Te 0.002 0.741 0.003
Ho 0.500 0.500 0.000
Th 0.500 0.000 0.000
Te 0.670 0.080 0.341
Te 0.334 0.413 0.668
Ho 0.165 0.833 0.331

Record 9
A relaxed structure of Ho2Pu3ThTe6. Source: Alexandria, functional PBE.

- ΔE_f (raw): -1.15 eV/atom

Cell lengths 4.364, 8.883, 9.866 Å; angles 103.55, 102.78, 90.00 degrees
Fractional positions:
Te 0.669 0.579 0.337
Te 0.997 0.743 0.995
Te 0.330 0.911 0.660
Pu 0.500 0.500 0.000
Ho 0.834 0.669 0.668
Ho 0.166 0.331 0.332
Te 0.670 0.089 0.340
Th 0.500 0.000 0.000
Te 0.003 0.257 0.005
Pu 0.836 0.167 0.673
Te 0.331 0.421 0.663
Pu 0.164 0.833 0.327

Record 10
A relaxed structure of HoPu2Tl3Te6. Source: Alexandria, functional PBE.

- ΔE_f (raw): -0.87 eV/atom

Cell lengths 7.759, 7.759, 8.554 Å; angles 98.70, 98.70, 119.98 degrees
Fractional positions:
Tl 0.832 0.168 0.500
Ho 0.000 0.000 0.000
Te 0.071 0.401 0.213
Te 0.599 0.929 0.787
Tl 0.500 0.500 0.500
Te 0.258 0.258 0.786
Pu 0.334 0.666 0.000
Pu 0.666 0.334 0.000
Te 0.929 0.599 0.787
Tl 0.168 0.832 0.500
Te 0.742 0.742 0.214
Te 0.401 0.071 0.213

Record 11
A relaxed structure of Ho3PuTl4Te8. Source: Alexandria, functional PBE.

- ΔE_f (raw): -0.97 eV/atom

Cell lengths 8.910, 9.650, 8.910 Å; angles 117.50, 120.00, 90.00 degrees
Fractional positions:
Te 0.737 0.712 0.475
Te 0.240 0.713 0.480
Ho 0.500 0.500 0.500
Te 0.760 0.287 0.027
Te 0.733 0.713 0.973
Tl 0.000 0.000 0.500
Ho 0.500 0.500 0.000
Pu 0.000 0.500 0.000
Te 0.240 0.713 0.973
Te 0.760 0.287 0.520
Te 0.267 0.287 0.027
Tl 0.500 0.000 0.500
Tl 0.000 0.000 0.000
Te 0.263 0.288 0.525
Ho 0.000 0.500 0.500
Tl 0.500 0.000 0.000

Record 12
A relaxed structure of Ho3TmPu2Te6. Source: Alexandria, functional PBE.

- ΔE_f (raw): -1.21 eV/atom

Cell lengths 4.340, 8.760, 9.764 Å; angles 103.35, 102.84, 90.00 degrees
Fractional positions:
Pu 0.834 0.667 0.668
Ho 0.500 0.500 0.000
Tm 0.500 0.000 0.000
Pu 0.166 0.333 0.332
Ho 0.169 0.835 0.339
Te 0.997 0.246 0.994
Te 0.665 0.587 0.331
Te 0.335 0.413 0.669
Te 0.335 0.922 0.671
Ho 0.831 0.165 0.661
Te 0.003 0.754 0.006
Te 0.665 0.078 0.329

Record 13
A relaxed structure of Ho2Tm3PuTe6. Source: Alexandria, functional PBE.

- ΔE_f (raw): -1.20 eV/atom

Cell lengths 4.309, 8.703, 9.699 Å; angles 103.12, 102.83, 90.00 degrees
Fractional positions:
Te 0.999 0.256 0.998
Ho 0.837 0.671 0.674
Pu 0.500 0.000 0.000
Te 0.668 0.586 0.335
Te 0.332 0.414 0.665
Tm 0.500 0.500 0.000
Tm 0.165 0.835 0.329
Tm 0.835 0.165 0.671
Ho 0.163 0.329 0.326
Te 0.001 0.744 0.002
Te 0.670 0.083 0.340
Te 0.330 0.917 0.660

Record 14
A relaxed structure of HoTmPu2Te5. Source: Alexandria, functional PBE.

- ΔE_f (raw): -0.69 eV/atom

Cell lengths 5.474, 5.474, 11.491 Å; angles 90.00, 90.00, 90.00 degrees
Fractional positions:
Pu 0.500 0.500 0.316
Tm 0.000 0.000 0.500
Te 0.000 0.000 0.245
Te 0.000 0.500 0.500
Pu 0.500 0.500 0.684
Te 0.500 0.500 0.000
Ho 0.000 0.000 0.000
Te 0.000 0.000 0.755
Te 0.500 0.000 0.500

Record 15
A relaxed structure of HoTm3Pu2Te6. Source: Alexandria, functional PBE.

- ΔE_f (raw): -1.18 eV/atom

Cell lengths 4.326, 8.743, 9.744 Å; angles 103.49, 102.83, 90.00 degrees
Fractional positions:
Ho 0.500 0.000 0.000
Te 0.997 0.250 0.993
Tm 0.831 0.166 0.663
Pu 0.834 0.667 0.668
Pu 0.166 0.333 0.332
Te 0.666 0.076 0.333
Te 0.334 0.924 0.667
Te 0.003 0.750 0.007
Te 0.665 0.588 0.329
Tm 0.169 0.834 0.337
Tm 0.500 0.500 0.000
Te 0.335 0.412 0.671

Record 16
A relaxed structure of YHoPu2Te5. Source: Alexandria, functional PBE.

- ΔE_f (raw): -0.70 eV/atom

Cell lengths 5.516, 5.516, 11.528 Å; angles 90.00, 90.00, 90.00 degrees
Fractional positions:
Te 0.000 0.500 0.500
Te 0.500 0.000 0.500
Pu 0.500 0.500 0.318
Pu 0.500 0.500 0.682
Y 0.000 0.000 0.000
Te 0.000 0.000 0.244
Te 0.000 0.000 0.756
Ho 0.000 0.000 0.500
Te 0.500 0.500 0.000

Record 17
A relaxed structure of Y3HoPu2Te6. Source: Alexandria, functional PBE.

- ΔE_f (raw): -1.25 eV/atom

Cell lengths 4.364, 8.795, 9.808 Å; angles 103.30, 102.85, 90.00 degrees
Fractional positions:
Te 0.334 0.414 0.668
Te 0.665 0.080 0.330
Te 0.666 0.586 0.332
Te 0.998 0.247 0.996
Ho 0.500 0.000 0.000
Y 0.168 0.834 0.337
Y 0.832 0.166 0.663
Pu 0.834 0.667 0.668
Te 0.335 0.920 0.670
Y 0.500 0.500 0.000
Te 0.002 0.753 0.004
Pu 0.166 0.333 0.332

Record 18
A relaxed structure of YHo2Pu3Te6. Source: Alexandria, functional PBE.

- ΔE_f (raw): -1.21 eV/atom

Cell lengths 4.365, 8.819, 9.846 Å; angles 103.86, 102.81, 90.00 degrees
Fractional positions:
Pu 0.500 0.500 0.000
Te 0.002 0.248 0.003
Pu 0.166 0.833 0.332
Ho 0.167 0.333 0.333
Ho 0.833 0.667 0.667
Te 0.334 0.913 0.668
Te 0.998 0.752 0.997
Te 0.666 0.087 0.332
Pu 0.834 0.167 0.668
Y 0.500 0.000 0.000
Te 0.668 0.579 0.336
Te 0.332 0.421 0.664

Record 19
A relaxed structure of Y2Ho3PuTe6. Source: Alexandria, functional PBE.

- ΔE_f (raw): -1.26 eV/atom

Cell lengths 4.340, 8.754, 9.756 Å; angles 103.07, 102.85, 90.00 degrees
Fractional positions:
Te 0.999 0.254 0.998
Y 0.837 0.672 0.673
Te 0.331 0.917 0.662
Te 0.001 0.746 0.002
Pu 0.500 0.000 0.000
Y 0.163 0.328 0.327
Ho 0.500 0.500 0.000
Te 0.669 0.083 0.338
Te 0.332 0.415 0.665
Ho 0.835 0.165 0.669
Ho 0.165 0.835 0.331
Te 0.668 0.585 0.335

Record 20
A relaxed structure of Y3HoPu3Te8. Source: Alexandria, functional PBE.

- ΔE_f (raw): -1.27 eV/atom

Cell lengths 8.760, 8.778, 8.790 Å; angles 120.02, 90.01, 119.93 degrees
Fractional positions:
Te 0.252 0.503 0.254
Te 0.251 0.995 0.747
Y 0.000 0.500 0.500
Te 0.749 0.005 0.253
Te 0.256 0.005 0.253
Y 0.500 0.000 0.500
Pu 0.000 0.000 0.000
Te 0.744 0.995 0.747
Te 0.252 0.503 0.748
Te 0.748 0.497 0.252
Ho 0.000 0.000 0.500
Te 0.748 0.497 0.746
Pu 0.000 0.500 0.000
Pu 0.500 0.500 0.000
Y 0.500 0.500 0.500

Record 21
A relaxed structure of HoPuTh. Source: Alexandria, functional PBE.

- Offset from the most stable computed form: 0.000 eV/atom

Cell lengths 3.445, 5.559, 9.391 Å; angles 90.00, 90.00, 90.00 degrees
Fractional positions:
Th 0.500 0.500 0.074
Ho 0.000 0.500 0.408
Ho 0.500 0.000 0.592
Th 0.000 0.000 0.926
Pu 0.500 0.000 0.237
Pu 0.000 0.500 0.763